# KTiCrP2, optimized geometry, DFT PBE
data_KTiCrP2
_symmetry_space_group_name_H-M 'P 4/m m m'
_symmetry_Int_Tables_number 123
_symmetry_space_group_name_Hall '-P 4 2'
_cell_length_a 5.116
_cell_length_b 5.116
_cell_length_c 4.475
_cell_angle_alpha 90.00
_cell_angle_beta 90.00
_cell_angle_gamma 90.00
loop_
_atom_site_label
_atom_site_fract_x
_atom_site_fract_y
_atom_site_fract_z
K1 0.000 0.000 0.000
Ti1 0.000 0.000 0.500
Cr1 0.500 0.500 0.500
P1 0.000 0.500 0.000
# Total magnetization: 1.5 μB per formula unit
# Calculated formation energy: 2.50 eV/atom